# 1
First-principles (PBE) data for a relaxed La2FeSiN crystal, as listed in Alexandria via LeMat-Bulk.

It has space group P4/mmm (No. 123), with a = 5.292 Å, b = 5.292 Å, c = 3.641 Å, α = 90.00°, β = 90.00° and γ = 90.00°. The inequivalent atoms are La at (0.000, 0.500, 0.000), Fe at (0.000, 0.000, 0.500), Si at (0.500, 0.500, 0.500) and N at (0.000, 0.000, 0.000).

As for the size of the total moment: 1.56 μB per cell. Its volume is 102 Å³ per cell. As for the total energy: -35.294 eV/f.u.

# 2
First-principles (PBE) data for a relaxed Pu4Ge2Pb crystal, as listed in Alexandria via LeMat-Bulk.

It has space group R-3m (No. 166, hexagonal axes), with a = 5.0055 Å, b = 5.0055 Å, c = 22.9353 Å, α = 90.00°, β = 90.00° and γ = 120.00°. The inequivalent atoms are Pu at (0.0000, 0.0000, 0.0755), Pu at (0.0000, 0.0000, 0.2537), Ge at (0.0000, 0.0000, 0.3786) and Pb at (0.0000, 0.0000, 0.5000).

As for the size of the total moment: 1.96 μB per cell. Its volume is 498 Å³ per cell. The formation energy comes out at 0.025 eV per atom.